1.
A relaxed NaTi2CdN crystal. Source: the Alexandria database, functional PBE-GGA.

Cell lengths 5.4529, 4.1109, 5.4529 Å; angles 90.00, 90.00, 90.00 degrees
With the nearest neighbours (Å) after each atom.
Fractional positions:
Na1 0.5000 0.5000 0.5000  8 Ti 3.41
N1 0.0000 0.5000 0.0000  2 Cd 2.06
Ti1 0.0000 0.0000 0.5000  2 Cd 2.73
Ti2 0.5000 0.0000 0.0000  2 Cd 2.73
Cd1 0.0000 0.0000 0.0000  2 N 2.06

Calculated values
Raw total energy, eV/atom: -3.675
N(E_F), states/eV/cell: 7.29
Space group: P4/mmm
Formation energy (no corrections), meV/atom: 1595
Total moment, Bohr magnetons per cell: 5.23

***

2.
A relaxed BaSrSc2V crystal. Source: the Alexandria database, functional PBE-GGA.

Cell lengths 5.4153, 5.9584, 5.4153 Å; angles 90.00, 90.00, 90.00 degrees
With the nearest neighbours (Å) after each atom.
Fractional positions:
Sc1 0.0000 0.0000 0.5000  2 Sr 2.71
Sc2 0.5000 0.0000 0.0000  2 Sr 2.71
Sr1 0.0000 0.0000 0.0000  4 Sc 2.71, 2 Ba 2.98
Ba1 0.0000 0.5000 0.0000  2 Sr 2.98
V1 0.5000 0.5000 0.5000  4 Ba 3.83, 8 Sc 4.03

Calculated values
DFT formation energy, eV per formula unit: 9.3
Raw total energy, eV/atom: -3.224
N(E_F), states/eV/cell: 12.35
Space group: P4/mmm
Total moment, Bohr magnetons per cell: 0.31

***

3.
A relaxed CrRe2Ru crystal. Source: the Alexandria database, functional PBE-GGA.

Cell lengths 4.6874, 4.6874, 2.7105 Å; angles 90.00, 90.00, 109.47 degrees
With the nearest neighbours (Å) after each atom.
Fractional positions:
Cr1 0.0000 0.5000 0.5000  2 Ru 2.71, 8 Re 2.71, 2 Cr 2.71
Re1 0.0000 0.0000 0.0000  4 Re 2.71, 4 Ru 2.71, 4 Cr 2.71
Re2 0.5000 0.5000 0.0000  4 Re 2.71, 4 Cr 2.71, 4 Ru 2.71
Ru1 0.5000 0.0000 0.5000  2 Cr 2.71, 8 Re 2.71, 2 Ru 2.71

Calculated values
DFT formation energy, eV per formula unit: 0.4
Raw total energy, eV/atom: -10.850
N(E_F), states/eV/cell: 2.71
Space group: Cmmm
Excess energy over the best structure of this formula in the dataset, meV/atom: 1
Total moment, Bohr magnetons per cell: 0.00

***

4.
A relaxed Pm4PdSeS2 crystal. Source: the Alexandria database, functional PBE-GGA.

Cell lengths 4.0542, 7.1873, 7.1682 Å; angles 71.09, 90.00, 90.00 degrees
With the nearest neighbours (Å) after each atom.
Fractional positions:
Pm1 0.0000 0.7582 0.7500  3 S 2.87-2.88, 2 Pd 2.93, 1 Se 2.97
Pm2 0.0000 0.2418 0.2500  3 S 2.87-2.88, 2 Pd 2.93, 1 Se 2.97
Pm3 0.5000 0.7650 0.2457  3 S 2.85-2.86, 2 Se 2.97, 1 Pd 2.98
Pm4 0.5000 0.2350 0.7543  3 S 2.85-2.86, 2 Se 2.97, 1 Pd 2.98
Pd1 0.5000 0.5000 0.0000  6 Pm 2.93-2.98
Se1 0.0000 0.5000 0.5000  6 Pm 2.97
S1 0.0000 0.0000 0.0000  6 Pm 2.85-2.87
S2 0.5000 0.0000 0.5000  6 Pm 2.86-2.88

Calculated values
Raw total energy, eV/atom: -6.133
N(E_F), states/eV/cell: 3.27
Space group: P2/m
Formation energy (no corrections), meV/atom: -1641
Total moment, Bohr magnetons per cell: 0.00

***

5.
A relaxed ReAsRuSe2 crystal. Source: the Alexandria database, functional PBE-GGA.

Cell lengths 4.7960, 4.7960, 4.7771 Å; angles 90.00, 90.00, 90.00 degrees
With the nearest neighbours (Å) after each atom.
Fractional positions:
Re1 0.0000 0.0000 0.0000  2 As 2.39, 4 Se 2.40
As1 0.0000 0.0000 0.5000  2 Re 2.39
Se1 0.0000 0.5000 0.0000  2 Re 2.40
Se2 0.5000 0.0000 0.0000  2 Re 2.40
Ru1 0.5000 0.5000 0.5000  8 Se 3.38, 4 As 3.39

Calculated values
Raw total energy, eV/atom: -5.440
N(E_F), states/eV/cell: 4.43
Space group: P4/mmm
Excess energy over the best structure of this formula in the dataset, meV/atom: 0
Formation energy (no corrections), meV/atom: 1229
Total moment, Bohr magnetons per cell: 0.00

***

6.
A relaxed HAu crystal. Source: the Alexandria database, functional PBE-GGA.

Cell lengths 2.8954, 2.7402, 3.1773 Å; angles 90.00, 90.00, 90.00 degrees
With the nearest neighbours (Å) after each atom.
Fractional positions:
H1 0.5000 0.5000 0.5000  4 Au 1.99
Au1 0.0000 0.0000 0.5000  4 H 1.99

Calculated values
Raw total energy, eV/atom: -3.031
N(E_F), states/eV/cell: 0.15
Space group: Pmmm
Total moment, Bohr magnetons per cell: 0.00

***

7.
A relaxed VCrPt crystal. Source: the Alexandria database, functional PBE-GGA.

Cell lengths 5.1505, 13.2161, 2.7149 Å; angles 90.00, 118.13, 90.00 degrees
With the nearest neighbours (Å) after each atom.
Fractional positions:
Cr1 0.4323 0.2555 0.0375  2 V 2.29-2.36
Cr2 0.9323 0.7445 0.5375  2 V 2.29-2.36
Cr3 0.4323 0.7555 0.5375  2 V 2.29-2.36
Cr4 0.9323 0.2445 0.0375  2 V 2.29-2.36
Pt1 0.6299 0.9301 0.0987  6 V 2.61-2.89, 2 Cr 2.69-2.85, 2 Pt 2.71
Pt2 0.1299 0.0699 0.5987  6 V 2.61-2.89, 2 Cr 2.69-2.85, 2 Pt 2.71
Pt3 0.6299 0.4301 0.5987  6 V 2.61-2.89, 2 Cr 2.69-2.85, 2 Pt 2.71
Pt4 0.1299 0.5699 0.0987  6 V 2.61-2.89, 2 Cr 2.69-2.85, 2 Pt 2.71
V1 0.1181 0.8908 0.0369  2 Cr 2.29-2.36
V2 0.6181 0.1092 0.5369  2 Cr 2.29-2.36
V3 0.1181 0.3908 0.5369  2 Cr 2.29-2.36
V4 0.6181 0.6092 0.0369  2 Cr 2.29-2.36

Calculated values
DFT formation energy, eV per formula unit: -0.7
Raw total energy, eV/atom: -8.493
N(E_F), states/eV/cell: 7.50
Space group: Cc
Excess energy over the best structure of this formula in the dataset, meV/atom: 25
Total moment, Bohr magnetons per cell: 0.00

***

8.
A relaxed CuAg5F6 crystal. Source: the Alexandria database, functional PBE-GGA.

Cell lengths 6.3144, 5.8476, 5.8561 Å; angles 82.25, 57.55, 76.54 degrees
With the nearest neighbours (Å) after each atom.
Fractional positions:
Ag1 0.8316 0.4795 0.3933  6 F 2.44-2.73
Ag2 0.6249 0.0604 0.7066  5 F 2.44-2.61
Ag3 0.5000 0.5000 0.0000  2 F 2.33
Ag4 0.3751 0.9396 0.2934  5 F 2.44-2.61
Ag5 0.1684 0.5205 0.6067  6 F 2.44-2.73
Cu1 0.0000 0.0000 0.0000  4 F 1.99-2.03
F1 0.4122 0.7480 0.7021  5 Ag 2.33-2.61, 1 Cu 2.45
F2 0.9960 0.1640 0.6811  1 Cu 1.99
F3 0.1795 0.2434 0.0051  1 Cu 2.03
F4 0.8205 0.7566 0.9949  1 Cu 2.03
F5 0.0040 0.8360 0.3189  1 Cu 1.99
F6 0.5878 0.2520 0.2979  5 Ag 2.33-2.61, 1 Cu 2.45

Calculated values
Raw total energy, eV/atom: -3.455
N(E_F), states/eV/cell: 3.44
Space group: P-1
Formation energy (no corrections), meV/atom: -990
Total moment, Bohr magnetons per cell: 0.55

***

9.
A relaxed KHf2Ir crystal. Source: the Alexandria database, functional PBE-GGA.

Cell lengths 4.8524, 4.8524, 4.8524 Å; angles 60.00, 60.00, 60.00 degrees
With the nearest neighbours (Å) after each atom.
Fractional positions:
K1 0.0000 0.0000 0.0000  8 Hf 2.97
Ir1 0.5000 0.5000 0.5000  8 Hf 2.97
Hf1 0.2500 0.2500 0.2500  4 K 2.97, 4 Ir 2.97
Hf2 0.7500 0.7500 0.7500  4 K 2.97, 4 Ir 2.97

Calculated values
DFT formation energy, eV per formula unit: 1.6
Raw total energy, eV/atom: -7.064
N(E_F), states/eV/cell: 2.17
Space group: Fm-3m
Excess energy over the best structure of this formula in the dataset, meV/atom: 0
Total moment, Bohr magnetons per cell: 0.00

***

10.
A relaxed Tm3Sc4Te4 crystal. Source: the Alexandria database, functional PBE-GGA.

Cell lengths 3.8597, 8.7329, 9.5309 Å; angles 117.27, 101.68, 90.00 degrees
With the nearest neighbours (Å) after each atom.
Fractional positions:
Tm1 0.1069 0.1069 0.2138  6 Te 3.01-3.16
Tm2 0.8931 0.8931 0.7862  6 Te 3.01-3.16
Tm3 0.0000 0.5000 0.0000  4 Te 3.23
Sc1 0.3314 0.1424 0.6628  4 Te 2.90-3.01
Sc2 0.6686 0.4796 0.3372  4 Te 2.90-3.01
Sc3 0.6686 0.8576 0.3372  4 Te 2.90-3.01
Sc4 0.3314 0.5204 0.6628  4 Te 2.90-3.01
Te1 0.2529 0.7529 0.5057  6 Sc 2.90-3.01, 2 Tm 3.01
Te2 0.7471 0.2471 0.4943  6 Sc 2.90-3.01, 2 Tm 3.01
Te3 0.5000 0.7961 0.0000  2 Sc 2.93, 6 Tm 3.16-3.23
Te4 0.5000 0.2039 0.0000  2 Sc 2.93, 6 Tm 3.16-3.23

Calculated values
Raw total energy, eV/atom: -5.489
N(E_F), states/eV/cell: 12.77
Space group: Immm
Formation energy (no corrections), meV/atom: -825
Total moment, Bohr magnetons per cell: 0.00